K2AgPbCl6: optimized geometry, PBE.

a b c (Å): 7.544 7.544 7.544
angles (deg): 60.00 60.00 60.00
Fractional positions:
K: 0.250 0.250 0.250
K: 0.750 0.750 0.750
Ag: 0.000 0.000 0.000
Pb: 0.500 0.500 0.500
Cl: 0.244 0.244 0.756
Cl: 0.244 0.756 0.244
Cl: 0.244 0.756 0.756
Cl: 0.756 0.244 0.244
Cl: 0.756 0.244 0.756
Cl: 0.756 0.756 0.244

Values from the calculation:
**E_tot**: -3.21 eV per atom
**Space group**: No. 225
**Excess energy over the best structure of this formula in the dataset**: 27 meV/atom